1.
Computed, not measured: a relaxed YAgAu crystal at the PBE-GGA level of DFT.

Output
Distance to the lowest polymorph of the same formula ... 16.6 kJ/mol of atoms

a = 6.7074 Å, b = 6.7074 Å, c = 6.7074 Å
α = 90.00°, β = 90.00°, γ = 90.00°
Last column: nearest neighbours and their distance in Å.
Space group F-43m (No. 216)
Unique sites:
1 Y 0.0000 0.0000 0.0000  4 Au 2.90
2 Ag 0.0000 0.0000 0.5000  4 Au 2.90
3 Au 0.2500 0.2500 0.7500  4 Y 2.90, 4 Ag 2.90

---

2.
Computed, not measured: a relaxed YAgAu2 crystal at the PBE-GGA level of DFT.

a = 3.9358 Å, b = 4.2062 Å, c = 11.3115 Å
α = 90.00°, β = 90.00°, γ = 90.00°
Last column: nearest neighbours and their distance in Å.
Space group Immm (No. 71)
Unique sites:
1 Y 0.0000 0.0000 0.0000  4 Ag 2.88, 2 Au 2.94
2 Ag 0.0000 0.0000 0.5000  2 Au 2.72, 4 Y 2.88
3 Au 0.0000 0.0000 0.2596  1 Ag 2.72, 4 Au 2.89, 1 Y 2.94

---

3.
Computed, not measured: a relaxed YAg8Au6 crystal at the PBE-GGA level of DFT.

a = 7.9094 Å, b = 7.9094 Å, c = 16.4860 Å
α = 90.00°, β = 90.00°, γ = 120.00°
Last column: nearest neighbours and their distance in Å.
Space group R-3 (No. 148, hexagonal axes)
Unique sites:
1 Y 0.0000 0.0000 0.0000  6 Au 3.03, 6 Ag 3.36
2 Ag 0.0000 0.0000 0.2281  6 Ag 2.81-2.92, 3 Au 2.92
3 Ag 0.0089 0.6893 0.1364  3 Au 2.75-2.89, 5 Ag 2.80-2.92
4 Au 0.0204 0.7740 0.6361  4 Ag 2.75-2.92, 1 Au 2.76, 1 Y 3.03

---

4.
Computed, not measured: a relaxed Y2Ag2Au crystal at the PBE-GGA level of DFT.

Output
Distance to the lowest polymorph of the same formula ... 27.9 kJ/mol of atoms

a = 7.9319 Å, b = 7.9319 Å, c = 4.0198 Å
α = 90.00°, β = 90.00°, γ = 90.00°
Last column: nearest neighbours and their distance in Å.
Space group P4/mbm (No. 127)
Unique sites:
1 Y 0.1660 0.3340 0.0000  2 Au 2.96, 6 Ag 3.06-3.10
2 Ag 0.1288 0.6288 0.5000  1 Ag 2.89, 6 Y 3.06-3.10
3 Au 0.0000 0.0000 0.0000  4 Y 2.96

---

| no. | calculated volume (Å³/atom) | total energy (Ry/atom) |
| --- | --- | --- |
| 1 | 25.147 | -0.341 |
| 2 | 23.407 | -0.293 |
| 3 | 19.848 | -0.245 |
| 4 | 25.291 | -0.339 |